No. 1
Here is an optimized crystal structure of ReOs from the Alexandria database. Energies are from GGA-PBEsol.

crystal system = orthorhombic
energy of formation from the pure elements = -0.07 eV per atom
magnetization = 0.00 μB per cell
Fermi-level density of states = 2.74 states/eV/cell
offset from the most stable computed form = 0.057 eV/f.u.

Lattice parameters (Å, degrees): 2.748 4.356 4.749 90.00 90.00 90.00
Space group Pmmn (No. 59, origin choice 2)
Asymmetric unit:
Re1 0.250 0.250 0.086 x2
Os1 0.250 0.750 0.419 x2


No. 2
Here is an optimized crystal structure of Y2Cd from the Alexandria database. Energies are from GGA-PBEsol.

crystal system = orthorhombic
energy of formation from the pure elements = -0.26 eV per atom
magnetization = 0.00 μB per cell
Fermi-level density of states = 12.86 states/eV/cell

Lattice parameters (Å, degrees): 3.647 16.696 5.289 90.00 90.00 90.00
Space group Cmcm (No. 63)
Asymmetric unit:
Y1 0.000 0.086 0.250 x4
Y2 0.000 0.225 0.750 x4
Cd1 0.000 0.430 0.250 x4


No. 3
Here is an optimized crystal structure of BeHF2 from the Alexandria database. Energies are from GGA-PBEsol.

crystal system = cubic
magnetization = 3.88 μB per cell
Fermi-level density of states = 3.72 states/eV/cell
offset from the most stable computed form = 1.546 eV/f.u.

Lattice parameters (Å, degrees): 4.753 4.753 4.753 90.00 90.00 90.00
Space group Fm-3m (No. 225)
Asymmetric unit:
Be1 0.000 0.000 0.000 x4
H1 0.000 0.000 0.500 x4
F1 0.250 0.250 0.250 x8


No. 4
Here is an optimized crystal structure of Al2MoOs from the Alexandria database. Energies are from GGA-PBEsol.

crystal system = tetragonal
energy of formation from the pure elements = -0.19 eV per atom
magnetization = 0.01 μB per cell
Fermi-level density of states = 3.30 states/eV/cell
offset from the most stable computed form = 0.000 eV/f.u.

Lattice parameters (Å, degrees): 2.950 2.950 6.523 90.00 90.00 90.00
Space group P4/mmm (No. 123)
Asymmetric unit:
Al1 0.000 0.000 0.224 x2
Mo1 0.500 0.500 0.500 x1
Os1 0.500 0.500 0.000 x1


No. 5
Here is an optimized crystal structure of LiMgRh2 from the Alexandria database. Energies are from GGA-PBEsol.

crystal system = orthorhombic
energy of formation from the pure elements = -0.17 eV per atom
magnetization = 0.00 μB per cell
Fermi-level density of states = 3.20 states/eV/cell

Lattice parameters (Å, degrees): 2.892 4.249 4.503 90.00 90.00 90.00
Space group Pmmm (No. 47)
Asymmetric unit:
Li1 0.000 0.000 0.000 x1
Mg1 0.500 0.000 0.500 x1
Rh1 0.000 0.500 0.500 x1
Rh2 0.500 0.500 0.000 x1


No. 6
Here is an optimized crystal structure of Li7MnP4O16 from the Alexandria database. Energies are from GGA-PBEsol.

crystal system = monoclinic
magnetization = 3.93 μB per cell
Fermi-level density of states = 11.33 states/eV/cell
formation energy without anion corrections = -2171 meV per atom

Lattice parameters (Å, degrees): 4.679 5.798 10.051 90.00 90.42 90.00
Space group Pm (No. 6)
Asymmetric unit:
Li1 0.000 0.000 0.000 x1
Li2 0.022 0.238 0.288 x2
Li3 0.030 0.500 0.547 x1
Li4 0.528 0.242 0.751 x2
Li5 0.540 0.000 0.493 x1
Mn1 0.518 0.500 0.054 x1
P1 0.085 0.000 0.679 x1
P2 0.464 0.000 0.180 x1
P3 0.585 0.500 0.363 x1
P4 0.934 0.500 0.882 x1
O1 0.207 0.000 0.824 x1
O2 0.220 0.213 0.611 x2
O3 0.262 0.500 0.357 x1
O4 0.263 0.500 0.894 x1
O5 0.316 0.000 0.315 x1
O6 0.332 0.219 0.104 x2
O7 0.715 0.500 0.212 x1
O8 0.725 0.288 0.428 x2
O9 0.759 0.000 0.676 x1
O10 0.782 0.298 0.960 x2
O11 0.786 0.000 0.180 x1
O12 0.826 0.500 0.739 x1


No. 7
Here is an optimized crystal structure of Ba21Al40 from the Alexandria database. Energies are from GGA-PBEsol.

crystal system = trigonal
energy of formation from the pure elements = -0.25 eV per atom
magnetization = 0.00 μB per cell
Fermi-level density of states = 22.86 states/eV/cell

Lattice parameters (Å, degrees): 10.4731 10.4731 17.1159 90.00 90.00 120.00
Space group P31m (No. 157)
Asymmetric unit:
Ba1 0.0000 0.0000 0.0677 x1
Ba2 0.0000 0.0000 0.2839 x1
Ba3 0.0000 0.3215 0.7851 x3
Ba4 0.0000 0.3288 0.3905 x3
Ba5 0.0000 0.3309 0.0000 x3
Ba6 0.0000 0.6647 0.4993 x3
Ba7 0.0000 0.6718 0.7123 x3
Ba8 0.3333 0.6667 0.0712 x2
Ba9 0.3333 0.6667 0.2857 x2
Al1 0.0000 0.0000 0.4911 x1
Al2 0.0000 0.0000 0.6974 x1
Al3 0.0000 0.0000 0.8555 x1
Al4 0.0000 0.1971 0.5969 x3
Al5 0.0000 0.4900 0.1797 x3
Al6 0.0000 0.6654 0.2960 x3
Al7 0.0000 0.6674 0.0589 x3
Al8 0.0000 0.7627 0.9118 x3
Al9 0.1570 0.3330 0.1803 x6
Al10 0.1643 0.5016 0.6077 x6
Al11 0.1796 0.6594 0.8839 x6
Al12 0.3333 0.6667 0.4875 x2
Al13 0.3333 0.6667 0.7408 x2


No. 8
Here is an optimized crystal structure of SnGeWO2 from the Alexandria database. Energies are from GGA-PBEsol.

crystal system = tetragonal
magnetization = 2.02 μB per cell
Fermi-level density of states = 3.13 states/eV/cell
formation energy without anion corrections = 406 meV per atom

Lattice parameters (Å, degrees): 3.822 3.822 5.982 90.00 90.00 90.00
Space group P4/mmm (No. 123)
Asymmetric unit:
Sn1 0.000 0.000 0.000 x1
Ge1 0.500 0.500 0.500 x1
W1 0.000 0.000 0.500 x1
O1 0.000 0.500 0.000 x2


No. 9
Here is an optimized crystal structure of Cu2BiTeN from the Alexandria database. Energies are from GGA-PBEsol.

crystal system = tetragonal
magnetization = 2.09 μB per cell
Fermi-level density of states = 2.67 states/eV/cell
formation energy without anion corrections = 1773 meV per atom

Lattice parameters (Å, degrees): 4.861 4.861 6.117 90.00 90.00 90.00
Space group P4/mmm (No. 123)
Asymmetric unit:
Cu1 0.000 0.500 0.000 x2
Bi1 0.000 0.000 0.000 x1
Te1 0.000 0.000 0.500 x1
N1 0.500 0.500 0.500 x1


No. 10
Here is an optimized crystal structure of SrYNbRe2 from the Alexandria database. Energies are from GGA-PBEsol.

crystal system = tetragonal
energy of formation from the pure elements = 2.20 eV per atom
magnetization = 1.05 μB per cell
Fermi-level density of states = 5.23 states/eV/cell

Lattice parameters (Å, degrees): 4.917 4.917 4.952 90.00 90.00 90.00
Space group P4/mmm (No. 123)
Asymmetric unit:
Sr1 0.000 0.000 0.000 x1
Y1 0.500 0.500 0.500 x1
Nb1 0.500 0.500 0.000 x1
Re1 0.000 0.500 0.500 x2


No. 11
Here is an optimized crystal structure of FeSi4Br from the Alexandria database. Energies are from GGA-PBEsol.

crystal system = cubic
magnetization = 13.24 μB per cell
Fermi-level density of states = 16.82 states/eV/cell
formation energy without anion corrections = 655 meV per atom

Lattice parameters (Å, degrees): 7.258 7.258 7.258 90.00 90.00 90.00
Space group F-43m (No. 216)
Asymmetric unit:
Fe1 0.000 0.000 0.000 x4
Si1 0.124 0.124 0.624 x16
Br1 0.250 0.250 0.250 x4


DFT total energy, record by record: -12.84 -5.21 -3.75 -8.23 -5.16 -6.84 -3.67 -6.29 -3.23 -7.03 -4.98 eV per atom
Ρ, record by record: 21.99 5.99 2.97 9.95 7.11 2.94 4.05 7.74 5.49 8.90 4.31 Mg/m³